No. 1
Compound: Rb2CeIO6
Source: Alexandria via LeMat-Bulk
Functional: GGA-PBE
Structure: optimized geometry

The structure belongs to space group Fm-3m (No. 225); the cell edges are 8.5798, 8.5798 and 8.5798 Å and the angles 90.00°, 90.00° and 90.00°. The inequivalent atoms are Rb at (0.2500, 0.2500, 0.2500), Ce at (0.0000, 0.0000, 0.0000), I at (0.0000, 0.0000, 0.5000) and O at (0.0000, 0.0000, 0.2649).

***

No. 2
Compound: RbCeI2O8
Source: Alexandria via LeMat-Bulk
Functional: GGA-PBE
Structure: optimized geometry

The structure belongs to space group C2/m (No. 12); the cell edges are 13.1898, 6.0185 and 6.3179 Å and the angles 90.00°, 112.62° and 90.00°. The inequivalent atoms are Rb at (0.0000, 0.0000, 0.0000), Ce at (0.0000, 0.5000, 0.5000), I at (0.2187, 0.0000, 0.7132), O at (0.0632, 0.5000, 0.2754), O at (0.1329, 0.2278, 0.7486) and O at (0.1837, 0.0000, 0.4084).

***

No. 3
Compound: RbCeIO2
Source: Alexandria via LeMat-Bulk
Functional: GGA-PBE
Structure: optimized geometry

The structure belongs to space group P2_1/m (No. 11); the cell edges are 7.4501, 4.3620 and 9.0228 Å and the angles 90.00°, 105.68° and 90.00°. The inequivalent atoms are Rb at (0.2020, 0.2500, 0.4502), Ce at (0.1384, 0.2500, 0.9101), I at (0.4638, 0.7500, 0.7861), O at (0.0120, 0.2500, 0.6925) and O at (0.0732, 0.7500, 0.9516).

***

Number 1: formation energy from raw total energies -1.668 eV/atom. Number 2: formation energy from raw total energies -1.189 eV/atom. Number 3: formation energy from raw total energies -2.410 eV/atom.